# 1
# PBEsol Zn2FeNi, optimized geometry
data_Zn2FeNi
_chemical_formula_sum 'Zn4 Fe2 Ni2'
_space_group_name_H-M_alt 'I -4 m 2'
_space_group_IT_number 119
_space_group_name_Hall 'I -4 -2'
_cell_length_a 3.685
_cell_length_b 3.685
_cell_length_c 7.022
_cell_angle_alpha 90.00
_cell_angle_beta 90.00
_cell_angle_gamma 90.00
loop_
_atom_site_label
_atom_site_type_symbol
_atom_site_fract_x
_atom_site_fract_y
_atom_site_fract_z
_atom_site_occupancy
Zn1 Zn 0.000 0.000 0.000 1
Zn2 Zn 0.000 0.500 0.250 1
Fe1 Fe 0.000 0.000 0.500 1
Ni1 Ni 0.000 0.500 0.750 1
# formation energy from the elements = -0.02 eV/atom
# DFT total energy = -36.77 eV for the cell shown
# N(E_F) = 2.8 states/eV/f.u.


# 2
# PBEsol CaTaAg2, optimized geometry
data_CaTaAg2
_chemical_formula_sum 'Ca2 Ta2 Ag4'
_space_group_name_H-M_alt 'C 1 m 1'
_space_group_IT_number 8
_cell_length_a 10.747
_cell_length_b 2.845
_cell_length_c 5.189
_cell_angle_alpha 90.00
_cell_angle_beta 105.21
_cell_angle_gamma 90.00
loop_
_space_group_symop_operation_xyz
'x,y,z'
'x,-y,z'
'x+1/2,y+1/2,z'
'x+1/2,-y+1/2,z'
loop_
_atom_site_label
_atom_site_type_symbol
_atom_site_fract_x
_atom_site_fract_y
_atom_site_fract_z
_atom_site_occupancy
Ca1 Ca 0.000 0.000 0.000 1
Ta1 Ta 0.210 0.000 0.611 1
Ag1 Ag 0.256 0.500 0.135 1
Ag2 Ag 0.464 0.000 0.489 1
# formation energy from the elements = 0.32 eV/atom
# DFT total energy = -40.07 eV for the cell shown
# N(E_F) = 3.4 states/eV/f.u.